# AcSm4Tm4 (PBE-GGA, optimized geometry)
# Crystal system   triclinic
data_AcSm4Tm4
_cell_length_a 6.332
_cell_length_b 8.984
_cell_length_c 11.529
_cell_angle_alpha 90.43
_cell_angle_beta 102.66
_cell_angle_gamma 109.57
_space_group_name_H-M_alt 'P -1'
_space_group_IT_number 2
loop_
_space_group_symop_operation_xyz
'x,y,z'
'-x,-y,-z'
loop_
_atom_site_label
_atom_site_type_symbol
_atom_site_fract_x
_atom_site_fract_y
_atom_site_fract_z
Ac1 Ac 0.059 0.438 0.295
Sm1 Sm 0.141 0.264 0.860
Sm2 Sm 0.198 0.915 0.944
Sm3 Sm 0.323 0.790 0.523
Sm4 Sm 0.423 0.255 0.172
Tm1 Tm 0.065 0.041 0.366
Tm2 Tm 0.286 0.581 0.046
Tm3 Tm 0.314 0.377 0.595
Tm4 Tm 0.464 0.891 0.252

***

# AcSmTm3 (PBE-GGA, optimized geometry)
# E above lowest polymorph   0.0 meV per atom
# Crystal system   monoclinic
data_AcSmTm3
_cell_length_a 9.377
_cell_length_b 6.360
_cell_length_c 12.438
_cell_angle_alpha 90.00
_cell_angle_beta 114.36
_cell_angle_gamma 90.00
_space_group_name_H-M_alt 'P 1 21/c 1'
_space_group_IT_number 14
loop_
_space_group_symop_operation_xyz
'x,y,z'
'-x,-y,-z'
'-x,y+1/2,-z+1/2'
'x,-y+1/2,z+1/2'
loop_
_atom_site_label
_atom_site_type_symbol
_atom_site_fract_x
_atom_site_fract_y
_atom_site_fract_z
Ac1 Ac 0.154 0.174 0.102
Sm1 Sm 0.261 0.665 0.001
Tm1 Tm 0.052 0.667 0.206
Tm2 Tm 0.355 0.163 0.903
Tm3 Tm 0.446 0.672 0.799

***

# AcSm6Tm5 (PBE-GGA, optimized geometry)
# Crystal system   monoclinic
data_AcSm6Tm5
_cell_length_a 6.238
_cell_length_b 10.809
_cell_length_c 11.904
_cell_angle_alpha 90.00
_cell_angle_beta 100.05
_cell_angle_gamma 90.00
_space_group_name_H-M_alt 'C 1 2/m 1'
_space_group_IT_number 12
loop_
_space_group_symop_operation_xyz
'x,y,z'
'-x,-y,-z'
'-x,y,-z'
'x,-y,z'
'x+1/2,y+1/2,z'
'-x+1/2,-y+1/2,-z'
'-x+1/2,y+1/2,-z'
'x+1/2,-y+1/2,z'
loop_
_atom_site_label
_atom_site_type_symbol
_atom_site_fract_x
_atom_site_fract_y
_atom_site_fract_z
Ac1 Ac 0.000 0.000 0.000
Sm1 Sm 0.247 0.332 0.745
Sm2 Sm 0.248 0.500 0.256
Tm1 Tm 0.000 0.167 0.500
Tm2 Tm 0.000 0.333 0.000
Tm3 Tm 0.000 0.500 0.500

***

# AcSm4Tm15 (PBE-GGA, optimized geometry)
# Crystal system   tetragonal
data_AcSm4Tm15
_cell_length_a 5.012
_cell_length_b 5.012
_cell_length_c 24.978
_cell_angle_alpha 90.00
_cell_angle_beta 90.00
_cell_angle_gamma 90.00
_space_group_name_H-M_alt 'P 4/m m m'
_space_group_IT_number 123
_space_group_name_Hall '-P 4 2'
loop_
_atom_site_label
_atom_site_type_symbol
_atom_site_fract_x
_atom_site_fract_y
_atom_site_fract_z
Ac1 Ac 0.000 0.000 0.000
Sm1 Sm 0.000 0.000 0.202
Sm2 Sm 0.000 0.000 0.401
Tm1 Tm 0.000 0.500 0.105
Tm2 Tm 0.000 0.500 0.302
Tm3 Tm 0.000 0.500 0.500
Tm4 Tm 0.500 0.500 0.000
Tm5 Tm 0.500 0.500 0.203
Tm6 Tm 0.500 0.500 0.401

***

# Ac6Sm5Tm2 (PBE-GGA, optimized geometry)
# Crystal system   orthorhombic
data_Ac6Sm5Tm2
_cell_length_a 11.303
_cell_length_b 23.990
_cell_length_c 3.744
_cell_angle_alpha 90.00
_cell_angle_beta 90.00
_cell_angle_gamma 90.00
_space_group_name_H-M_alt 'P b a m'
_space_group_IT_number 55
loop_
_space_group_symop_operation_xyz
'x,y,z'
'-x,-y,-z'
'-x,-y,z'
'x,y,-z'
'x+1/2,-y+1/2,-z'
'-x+1/2,y+1/2,z'
'-x+1/2,y+1/2,-z'
'x+1/2,-y+1/2,z'
loop_
_atom_site_label
_atom_site_type_symbol
_atom_site_fract_x
_atom_site_fract_y
_atom_site_fract_z
Ac1 Ac 0.018 0.113 0.000
Ac2 Ac 0.148 0.385 0.000
Ac3 Ac 0.166 0.634 0.500
Sm1 Sm 0.000 0.500 0.500
Sm2 Sm 0.085 0.250 0.500
Sm3 Sm 0.164 0.997 0.500
Tm1 Tm 0.165 0.766 0.000

***

# AcSm2Tm3 (PBE-GGA, optimized geometry)
# Crystal system   monoclinic
data_AcSm2Tm3
_cell_length_a 9.133
_cell_length_b 9.961
_cell_length_c 9.067
_cell_angle_alpha 90.00
_cell_angle_beta 101.72
_cell_angle_gamma 90.00
_space_group_name_H-M_alt 'C 1 2/c 1'
_space_group_IT_number 15
loop_
_space_group_symop_operation_xyz
'x,y,z'
'-x,-y,-z'
'-x,y,-z+1/2'
'x,-y,z+1/2'
'x+1/2,y+1/2,z'
'-x+1/2,-y+1/2,-z'
'-x+1/2,y+1/2,-z+1/2'
'x+1/2,-y+1/2,z+1/2'
loop_
_atom_site_label
_atom_site_type_symbol
_atom_site_fract_x
_atom_site_fract_y
_atom_site_fract_z
Ac1 Ac 0.000 0.084 0.250
Sm1 Sm 0.123 0.255 0.626
Tm1 Tm 0.000 0.426 0.250
Tm2 Tm 0.239 0.412 0.999

***

The calculation returns the following energy of formation values, one per record and in order: 71 46 35 37 162 109 meV/atom.
The calculation returns the following V values, one per record and in order: 33.4 33.8 32.9 31.4 39.1 33.6 Å³ per atom.